Record 1
ErZn6Ni2 after structural relaxation. Source: Alexandria via LeMat-Bulk, functional PBE-GGA.

Cell: 5.459 5.459 6.412 Å, 90.00 90.00 120.00°
Atoms (fractional coordinates):
Er 0.000 0.000 0.000
Zn 0.000 0.500 0.210
Zn 0.000 0.500 0.790
Zn 0.500 0.000 0.210
Zn 0.500 0.000 0.790
Zn 0.500 0.500 0.210
Zn 0.500 0.500 0.790
Ni 0.333 0.667 0.500
Ni 0.667 0.333 0.500

Properties
The value obtained for the total energy is -2.55 eV/atom. Its calculated volume is 165.46 Å³/cell. As for the space group: No. 191. The calculation puts the formation energy at 0.09 eV per atom.

---

Record 2
Er2ZnNi after structural relaxation. Source: Alexandria via LeMat-Bulk, functional PBE-GGA.

Cell: 3.430 3.430 6.912 Å, 90.00 90.00 90.00°
Atoms (fractional coordinates):
Er 0.000 0.000 0.234
Er 0.000 0.000 0.766
Zn 0.500 0.500 0.500
Ni 0.500 0.500 0.000

Properties
The value obtained for the total energy is -4.45 eV/atom. Its calculated volume is 81.31 Å³/cell. As for the space group: No. 123. The energy above the lowest structure with this stoichiometry comes out at 0.000 eV/atom. The calculation puts the formation energy at -0.40 eV per atom.

---

Record 3
ErZn12Ni6 after structural relaxation. Source: Alexandria via LeMat-Bulk, functional PBE-GGA.

Cell: 6.876 6.876 6.876 Å, 105.11 105.11 105.11°
Atoms (fractional coordinates):
Er 0.000 0.000 0.000
Zn 0.115 0.500 0.885
Zn 0.115 0.885 0.500
Zn 0.140 0.396 0.396
Zn 0.396 0.140 0.396
Zn 0.396 0.396 0.140
Zn 0.500 0.115 0.885
Zn 0.500 0.885 0.115
Zn 0.604 0.604 0.860
Zn 0.604 0.860 0.604
Zn 0.860 0.604 0.604
Zn 0.885 0.115 0.500
Zn 0.885 0.500 0.115
Ni 0.280 0.280 0.701
Ni 0.280 0.701 0.280
Ni 0.299 0.720 0.720
Ni 0.701 0.280 0.280
Ni 0.720 0.299 0.720
Ni 0.720 0.720 0.299

Properties
The value obtained for the total energy is -2.95 eV/atom. Its calculated volume is 283.62 Å³/cell. As for the space group: No. 166. The calculation puts the formation energy at -0.08 eV per atom.

---

Record 4
Er2Zn5Ni5 after structural relaxation. Source: Alexandria via LeMat-Bulk, functional PBE-GGA.

Cell: 4.073 5.079 8.709 Å, 90.00 90.00 90.00°
Atoms (fractional coordinates):
Er 0.000 0.000 0.000
Er 0.000 0.500 0.500
Zn 0.500 0.000 0.500
Zn 0.500 0.252 0.244
Zn 0.500 0.252 0.756
Zn 0.500 0.748 0.244
Zn 0.500 0.748 0.756
Ni 0.000 0.000 0.333
Ni 0.000 0.000 0.667
Ni 0.000 0.500 0.161
Ni 0.000 0.500 0.839
Ni 0.500 0.500 0.000

Properties
The value obtained for the total energy is -4.09 eV/atom. Its calculated volume is 180.14 Å³/cell. As for the space group: No. 47. The energy above the lowest structure with this stoichiometry comes out at 0.000 eV/atom. The calculation puts the formation energy at -0.39 eV per atom.

---

Among the records above, which one has the highest formation energy?
ErZn6Ni2